VASP calculation (PBE) on an optimized crystal structure of K2CrCdPt.

Structure (POSCAR):
```
K2CrCdPt
1.0
-4.2702 -4.0375 -2.5887
3.7638 -2.7023 -1.9939
0.2091 -3.6195 5.3002
Cr K Pt Cd
1 2 1 1
direct
0.5000 0.5000 0.5000
0.0000 0.0000 0.5000
0.5000 0.0000 0.0000
0.0000 0.5000 0.0000
0.0000 0.0000 0.0000
```

Formation enthalpy at 0 K = 0.7601 eV per atom
ρ = 3.5 Mg/m³